An optimized crystal structure of AcNd4Sm10. Source: the Alexandria database, functional PBE.

Structure (POSCAR):
```
AcNd4Sm10
1.0
-4.961 4.961 5.446
4.961 -4.961 5.446
4.961 4.961 -5.446
Ac Nd Sm
1 4 10
direct
0.000 0.000 0.000
0.065 0.340 0.405
0.340 0.935 0.275
0.660 0.065 0.725
0.935 0.660 0.595
0.133 0.460 0.906
0.227 0.133 0.673
0.250 0.750 0.500
0.446 0.773 0.906
0.460 0.554 0.327
0.540 0.446 0.673
0.554 0.227 0.094
0.750 0.250 0.500
0.773 0.867 0.327
0.867 0.540 0.094
```

Its energy relative to the elements is 4.39 eV per formula unit. Its total energy is -65.98 eV for the cell shown.

***

An optimized crystal structure of Ca2Sb3PdRh4. Source: the Alexandria database, functional PBE.

Structure (POSCAR):
```
Ca2Sb3PdRh4
1.0
4.288 0.000 0.000
0.000 4.288 0.000
0.000 0.000 11.247
Ca Sb Pd Rh
2 3 1 4
direct
0.000 0.500 0.236
0.500 0.000 0.764
0.000 0.000 0.000
0.000 0.500 0.634
0.500 0.000 0.366
0.500 0.500 0.000
0.000 0.000 0.500
0.000 0.500 0.860
0.500 0.000 0.140
0.500 0.500 0.500
```

Its total energy is -57.30 eV for the cell shown. The value obtained for the uncorrected formation energy is -0.633 eV/atom.

***

An optimized crystal structure of FeCoMo2. Source: the Alexandria database, functional PBE.

Structure (POSCAR):
```
FeCoMo2
1.0
2.678 0.000 0.000
0.000 3.656 0.000
0.000 0.000 5.342
Fe Co Mo
1 1 2
direct
0.000 0.000 0.000
0.000 0.000 0.500
0.500 0.500 0.248
0.500 0.500 0.752
```

Its energy relative to the elements is 0.39 eV per formula unit. Its total energy is -36.84 eV for the cell shown.

***

An optimized crystal structure of ScAg2As. Source: the Alexandria database, functional PBE.

Structure (POSCAR):
```
ScAg2As
1.0
4.360 0.000 0.000
0.000 1.804 5.006
0.000 -1.804 5.006
Sc Ag As
1 2 1
direct
0.000 0.000 0.000
0.500 0.314 0.314
0.500 0.585 0.585
0.000 0.732 0.732
```

Its energy relative to the elements is -1.18 eV per formula unit. Its total energy is -17.87 eV for the cell shown.

***

An optimized crystal structure of LaSm8Tl6. Source: the Alexandria database, functional PBE.

Structure (POSCAR):
```
LaSm8Tl6
1.0
4.675 2.699 6.570
-4.675 2.699 6.570
0.000 -5.398 6.570
La Sm Tl
1 8 6
direct
0.000 0.000 0.000
0.112 0.440 0.780
0.220 0.888 0.560
0.332 0.332 0.332
0.440 0.780 0.112
0.560 0.220 0.888
0.668 0.668 0.668
0.780 0.112 0.440
0.888 0.560 0.220
0.061 0.721 0.401
0.279 0.599 0.939
0.401 0.061 0.721
0.599 0.939 0.279
0.721 0.401 0.061
0.939 0.279 0.599
```

Its energy relative to the elements is -2.39 eV per formula unit. Its total energy is -59.27 eV for the cell shown.

***

An optimized crystal structure of Ir2Au. Source: the Alexandria database, functional PBE.

Structure (POSCAR):
```
Ir2Au
1.0
-3.126 3.126 2.609
3.126 -3.126 2.609
3.126 3.126 -2.609
Ir Au
4 2
direct
0.136 0.636 0.772
0.364 0.136 0.500
0.636 0.864 0.500
0.864 0.364 0.228
0.250 0.250 0.000
0.750 0.750 0.000
```

Its energy relative to the elements is 2.95 eV per formula unit. Its total energy is -36.10 eV for the cell shown.

***

An optimized crystal structure of CaIr. Source: the Alexandria database, functional PBE.

Structure (POSCAR):
```
CaIr
1.0
5.719 0.000 0.000
0.000 7.065 0.000
0.000 0.000 8.858
Ca Ir
8 8
direct
0.022 0.228 0.039
0.186 0.241 0.405
0.314 0.759 0.905
0.478 0.772 0.539
0.522 0.272 0.961
0.686 0.259 0.595
0.814 0.741 0.095
0.978 0.728 0.461
0.187 0.433 0.719
0.193 0.087 0.724
0.307 0.913 0.224
0.313 0.567 0.219
0.687 0.067 0.281
0.693 0.413 0.276
0.807 0.587 0.776
0.813 0.933 0.781
```

Its energy relative to the elements is -0.31 eV per formula unit. Its total energy is -89.35 eV for the cell shown.

***

An optimized crystal structure of ZnNi2Sb2. Source: the Alexandria database, functional PBE.

Structure (POSCAR):
```
ZnNi2Sb2
1.0
-1.771 1.771 7.639
1.771 -1.771 7.639
1.771 1.771 -7.639
Zn Ni Sb
1 2 2
direct
0.000 0.000 0.000
0.250 0.750 0.500
0.750 0.250 0.500
0.373 0.373 0.000
0.627 0.627 0.000
```

Its total energy is -20.80 eV for the cell shown. The value obtained for the uncorrected formation energy is 0.056 eV/atom.